1.
First-principles (PBE) data for a geometry-optimized NiAs4Au structure, as listed in Alexandria.

Cell: 5.4616 5.4616 5.4616 Å, 60.00 60.00 60.00°
Atoms (fractional coordinates):
Ni 0.0000 0.0000 0.0000
As 0.8741 0.3753 0.3753
As 0.3753 0.3753 0.8741
As 0.3753 0.8741 0.3753
As 0.3753 0.3753 0.3753
Au 0.7500 0.7500 0.7500

Computed properties:
VASP energy = -3.93 eV per atom
Crystal system = cubic
E_form = 0.68 eV/atom

---

2.
First-principles (PBE) data for a geometry-optimized AcNi2Sb2 structure, as listed in Alexandria.

Cell: 4.5923 4.5923 10.1801 Å, 90.00 90.00 90.00°
Atoms (fractional coordinates):
Ac 0.5000 0.0000 0.2391
Ac 0.0000 0.5000 0.7609
Ni 0.0000 0.5000 0.3792
Ni 0.5000 0.0000 0.6208
Ni 0.5000 0.5000 0.0000
Ni 0.0000 0.0000 0.0000
Sb 0.5000 0.5000 0.5000
Sb 0.0000 0.0000 0.5000
Sb 0.0000 0.5000 0.1244
Sb 0.5000 0.0000 0.8756

Computed properties:
VASP energy = -5.45 eV per atom
Crystal system = tetragonal
Raw formation energy = -0.670 eV/atom

---

3.
First-principles (PBE) data for a geometry-optimized Ca2InBr2 structure, as listed in Alexandria.

Cell: 8.8221 8.8221 3.8676 Å, 90.00 90.00 90.00°
Atoms (fractional coordinates):
Ca 0.3241 0.8241 0.0000
Ca 0.8241 0.6759 0.0000
Ca 0.6759 0.1759 0.0000
Ca 0.1759 0.3241 0.0000
Br 0.1316 0.6316 0.5000
Br 0.6316 0.8684 0.5000
Br 0.8684 0.3684 0.5000
Br 0.3684 0.1316 0.5000
In 0.0000 0.0000 0.0000
In 0.5000 0.5000 0.0000

Computed properties:
VASP energy = -2.91 eV per atom
Crystal system = tetragonal
Raw formation energy = -0.891 eV/atom

---

4.
First-principles (PBE) data for a geometry-optimized Cd2FeOs structure, as listed in Alexandria.

Cell: 7.3722 7.3722 5.8678 Å, 51.08 51.08 90.00°
Atoms (fractional coordinates):
Os 0.0000 0.0000 0.0000
Os 0.7500 0.2500 0.5000
Fe 0.5000 0.5000 0.0000
Fe 0.2500 0.7500 0.5000
Cd 0.6147 0.1250 0.2500
Cd 0.1353 0.6250 0.2500
Cd 0.3750 0.3853 0.7500
Cd 0.8750 0.8647 0.7500

Computed properties:
VASP energy = -4.38 eV per atom
Crystal system = tetragonal
E_form = 1.00 eV/atom

---

5.
First-principles (PBE) data for a geometry-optimized Ho4PRhS2 structure, as listed in Alexandria.

Cell: 3.9118 6.9330 6.8827 Å, 71.37 90.00 90.00°
Atoms (fractional coordinates):
Ho 0.0000 0.7415 0.7546
Ho 0.0000 0.2585 0.2454
Ho 0.5000 0.7395 0.2492
Ho 0.5000 0.2605 0.7508
P 0.0000 0.5000 0.5000
Rh 0.5000 0.5000 0.0000
S 0.0000 0.0000 0.0000
S 0.5000 0.0000 0.5000

Computed properties:
VASP energy = -6.46 eV per atom
Crystal system = monoclinic
Raw formation energy = -1.541 eV/atom

---

6.
First-principles (PBE) data for a geometry-optimized Mg3BiN structure, as listed in Alexandria.

Cell: 5.6965 12.8078 6.2299 Å, 90.00 90.00 90.00°
Atoms (fractional coordinates):
Mg 0.0131 0.8886 0.9393
Mg 0.4869 0.3886 0.4393
Mg 0.4869 0.1114 0.4393
Mg 0.9869 0.3886 0.0607
Mg 0.9869 0.1114 0.0607
Mg 0.5131 0.6114 0.5607
Mg 0.5131 0.8886 0.5607
Mg 0.0131 0.6114 0.9393
Mg 0.3908 0.2500 0.8537
Mg 0.1092 0.7500 0.3537
Mg 0.6092 0.7500 0.1463
Mg 0.8908 0.2500 0.6463
Bi 0.0000 0.0000 0.5000
Bi 0.5000 0.5000 0.0000
Bi 0.5000 0.0000 0.0000
Bi 0.0000 0.5000 0.5000
N 0.5496 0.2500 0.5645
N 0.9504 0.7500 0.0645
N 0.4504 0.7500 0.4355
N 0.0496 0.2500 0.9355

Computed properties:
VASP energy = -3.63 eV per atom
Crystal system = orthorhombic
Raw formation energy = -0.230 eV/atom

---

7.
First-principles (PBE) data for a geometry-optimized Mg2Tl2Cd structure, as listed in Alexandria.

Cell: 8.5281 8.5281 3.5540 Å, 90.00 90.00 90.00°
Atoms (fractional coordinates):
Tl 0.3426 0.8426 0.0000
Tl 0.8426 0.6574 0.0000
Tl 0.6574 0.1574 0.0000
Tl 0.1574 0.3426 0.0000
Mg 0.1415 0.6415 0.5000
Mg 0.6415 0.8585 0.5000
Mg 0.8585 0.3585 0.5000
Mg 0.3585 0.1415 0.5000
Cd 0.0000 0.0000 0.0000
Cd 0.5000 0.5000 0.0000

Computed properties:
VASP energy = -1.72 eV per atom
Crystal system = tetragonal
E_form = 0.04 eV/atom

---

8.
First-principles (PBE) data for a geometry-optimized NdDy8Hg6 structure, as listed in Alexandria.

Cell: 8.9690 8.9690 8.1872 Å, 56.79 56.79 60.00°
Atoms (fractional coordinates):
Nd 0.0000 0.0000 0.0000
Dy 0.5620 0.2154 0.3398
Dy 0.7846 0.1173 0.6602
Dy 0.1173 0.4380 0.6602
Dy 0.6688 0.6688 0.9936
Dy 0.3312 0.3312 0.0064
Dy 0.8827 0.5620 0.3398
Dy 0.2154 0.8827 0.3398
Dy 0.4380 0.7846 0.6602
Hg 0.4017 0.0586 0.8244
Hg 0.9414 0.2847 0.1756
Hg 0.2847 0.5983 0.1756
Hg 0.7153 0.4017 0.8244
Hg 0.0586 0.7153 0.8244
Hg 0.5983 0.9414 0.1756

Computed properties:
VASP energy = -3.13 eV per atom
Crystal system = trigonal
E_form = -0.24 eV/atom

---

9.
First-principles (PBE) data for a geometry-optimized LiMgTc2P structure, as listed in Alexandria.

Cell: 4.2725 4.2725 3.9627 Å, 90.00 90.00 90.00°
Atoms (fractional coordinates):
P 0.0000 0.0000 0.5000
Mg 0.5000 0.5000 0.5000
Tc 0.0000 0.5000 0.0000
Tc 0.5000 0.0000 0.0000
Li 0.0000 0.0000 0.0000

Computed properties:
VASP energy = -5.05 eV per atom
Crystal system = tetragonal
E_form = 0.88 eV/atom

---

10.
First-principles (PBE) data for a geometry-optimized Mg2ZrRu structure, as listed in Alexandria.

Cell: 3.6745 4.1562 4.8359 Å, 90.00 90.00 90.00°
Atoms (fractional coordinates):
Mg 0.0000 0.0000 0.0000
Mg 0.5000 0.5000 0.0000
Ru 0.5000 0.0000 0.5000
Zr 0.0000 0.5000 0.5000

Computed properties:
VASP energy = -5.37 eV per atom
Crystal system = orthorhombic
E_form = -0.11 eV/atom

---

11.
First-principles (PBE) data for a geometry-optimized KCaTl5 structure, as listed in Alexandria.

Cell: 4.6552 4.6552 11.2958 Å, 90.00 90.00 90.00°
Atoms (fractional coordinates):
K 0.0000 0.0000 0.5000
Ca 0.5000 0.5000 0.0000
Tl 0.0000 0.5000 0.2354
Tl 0.0000 0.5000 0.7646
Tl 0.5000 0.0000 0.2354
Tl 0.5000 0.0000 0.7646
Tl 0.0000 0.0000 0.0000

Computed properties:
VASP energy = -2.27 eV per atom
Crystal system = tetragonal
E_form = -0.14 eV/atom

---

12.
First-principles (PBE) data for a geometry-optimized La2AlSe structure, as listed in Alexandria.

Cell: 4.3103 4.4728 12.3880 Å, 100.40 90.00 90.00°
Atoms (fractional coordinates):
La 0.7500 0.6842 0.3684
La 0.2500 0.3158 0.6316
La 0.7500 0.9319 0.8638
La 0.2500 0.0681 0.1362
Al 0.2500 0.4661 0.9321
Al 0.7500 0.5339 0.0679
Se 0.2500 0.1920 0.3841
Se 0.7500 0.8080 0.6159

Computed properties:
VASP energy = -5.44 eV per atom
Crystal system = orthorhombic
Raw formation energy = -1.169 eV/atom

---

13.
First-principles (PBE) data for a geometry-optimized LiMg2ScAu4 structure, as listed in Alexandria.

Cell: 4.6693 4.6693 8.0894 Å, 73.23 73.23 60.00°
Atoms (fractional coordinates):
Li 0.5000 0.5000 0.5000
Mg 0.7530 0.7530 0.7411
Mg 0.2470 0.2470 0.2589
Sc 0.0000 0.0000 0.0000
Au 0.3762 0.3762 0.8714
Au 0.8749 0.8749 0.3753
Au 0.1251 0.1251 0.6247
Au 0.6238 0.6238 0.1286

Computed properties:
VASP energy = -3.72 eV per atom
Crystal system = trigonal
E_form = -0.65 eV/atom

---

14.
First-principles (PBE) data for a geometry-optimized Pm2PdPb2 structure, as listed in Alexandria.

Cell: 4.6134 6.1950 10.5677 Å, 89.16 77.39 68.14°
Atoms (fractional coordinates):
Pm 0.6740 0.3219 0.3300
Pm 0.9397 0.2413 0.8794
Pm 0.3260 0.6781 0.6700
Pm 0.0603 0.7587 0.1206
Pd 0.6164 0.0921 0.6750
Pd 0.3836 0.9079 0.3250
Pb 0.0956 0.2506 0.5582
Pb 0.6556 0.8027 0.8862
Pb 0.9044 0.7494 0.4418
Pb 0.3444 0.1973 0.1138

Computed properties:
VASP energy = -5.04 eV per atom
Crystal system = monoclinic
E_form = -0.62 eV/atom

---

15.
First-principles (PBE) data for a geometry-optimized Pm3PS2 structure, as listed in Alexandria.

Cell: 4.0608 5.7406 7.0698 Å, 113.95 106.69 90.00°
Atoms (fractional coordinates):
Pm 0.8380 0.3380 0.1760
Pm 0.1620 0.6620 0.8240
Pm 0.5000 0.0000 0.5000
P 0.5000 0.5000 0.5000
S 0.8329 0.8329 0.1657
S 0.1671 0.1671 0.8343

Computed properties:
VASP energy = -6.59 eV per atom
Crystal system = orthorhombic
Raw formation energy = -1.933 eV/atom

---

16.
First-principles (PBE) data for a geometry-optimized Tb2Pm3Rh2 structure, as listed in Alexandria.

Cell: 3.8804 6.4181 9.0199 Å, 114.38 90.00 107.60°
Atoms (fractional coordinates):
Tb 0.8302 0.6604 0.1885
Tb 0.1698 0.3396 0.8115
Pm 0.5000 0.0000 0.0000
Pm 0.6138 0.2277 0.4275
Pm 0.3862 0.7723 0.5725
Rh 0.8167 0.6334 0.7582
Rh 0.1833 0.3666 0.2418

Computed properties:
VASP energy = -5.97 eV per atom
Crystal system = monoclinic
E_form = -0.51 eV/atom

---

17.
First-principles (PBE) data for a geometry-optimized TmMg2Pd structure, as listed in Alexandria.

Cell: 4.8429 4.8429 4.8468 Å, 60.03 60.03 60.00°
Atoms (fractional coordinates):
Mg 0.7502 0.7502 0.7495
Mg 0.2498 0.2498 0.2505
Tm 0.0000 0.0000 0.0000
Pd 0.5000 0.5000 0.5000

Computed properties:
VASP energy = -3.46 eV per atom
Crystal system = cubic
E_form = -0.25 eV/atom

---

18.
First-principles (PBE) data for a geometry-optimized CuIrS2 structure, as listed in Alexandria.

Cell: 6.0432 7.3057 6.4115 Å, 90.00 90.00 90.00°
Atoms (fractional coordinates):
S 0.4107 0.8718 0.1543
S 0.5893 0.1282 0.6543
S 0.0893 0.3718 0.6543
S 0.9107 0.6282 0.1543
S 0.0738 0.9013 0.6166
S 0.9262 0.0987 0.1166
S 0.4262 0.4013 0.1166
S 0.5738 0.5987 0.6166
Ir 0.0902 0.8457 0.9674
Ir 0.9098 0.1543 0.4674
Ir 0.4098 0.3457 0.4674
Ir 0.5902 0.6543 0.9674
Cu 0.0668 0.3747 0.0115
Cu 0.9332 0.6253 0.5115
Cu 0.4332 0.8747 0.5115
Cu 0.5668 0.1253 0.0115

Computed properties:
VASP energy = -5.39 eV per atom
Crystal system = orthorhombic
Raw formation energy = -0.088 eV/atom

---

19.
First-principles (PBE) data for a geometry-optimized ErH8Ru2 structure, as listed in Alexandria.

Cell: 3.6069 4.9320 4.9320 Å, 67.81 89.98 89.98°
Atoms (fractional coordinates):
Er 0.0000 0.0000 0.0000
H 0.5003 0.6791 0.0517
H 0.4997 0.9483 0.3209
H 0.9999 0.2865 0.2865
H 0.0001 0.7135 0.7135
H 0.5003 0.0517 0.6791
H 0.4997 0.3209 0.9483
H 0.7506 0.4998 0.4998
H 0.2494 0.5002 0.5002
Ru 0.4999 0.3145 0.3145
Ru 0.5001 0.6855 0.6855

Computed properties:
VASP energy = -4.70 eV per atom
Crystal system = orthorhombic

---

20.
First-principles (PBE) data for a geometry-optimized PrNd2Pd structure, as listed in Alexandria.

Cell: 3.9498 3.9498 9.8681 Å, 78.46 78.46 60.00°
Atoms (fractional coordinates):
Pr 0.5003 0.5003 0.4991
Nd 0.0632 0.0632 0.8104
Nd 0.2701 0.2701 0.1897
Pd 0.6664 0.6664 0.0007

Computed properties:
VASP energy = -5.14 eV per atom
Crystal system = trigonal
E_form = -0.26 eV/atom

---

21.
First-principles (PBE) data for a geometry-optimized PrPa4N8 structure, as listed in Alexandria.

Cell: 3.7058 8.6715 7.1852 Å, 76.02 75.06 77.66°
Atoms (fractional coordinates):
Pr 0.6380 0.8665 0.8576
Pa 0.3651 0.8375 0.4323
Pa 0.8887 0.4532 0.7694
Pa 0.1317 0.5485 0.1880
Pa 0.6628 0.2030 0.4714
N 0.0955 0.3543 0.4548
N 0.5505 0.7207 0.1783
N 0.4713 0.3127 0.7446
N 0.9019 0.6756 0.5207
N 0.8367 0.9990 0.3276
N 0.2528 0.6364 0.8580
N 0.1748 0.0089 0.6416
N 0.7346 0.4058 0.1250

Computed properties:
VASP energy = -9.83 eV per atom
Crystal system = monoclinic
Raw formation energy = -1.421 eV/atom

---

22.
First-principles (PBE) data for a geometry-optimized Pr3NdCu2 structure, as listed in Alexandria.

Cell: 5.0722 7.1472 9.1258 Å, 90.00 90.00 90.00°
Atoms (fractional coordinates):
Pr 0.0000 0.4924 0.9225
Pr 0.0000 0.9924 0.0775
Pr 0.5000 0.6415 0.1612
Pr 0.5000 0.1415 0.8388
Pr 0.0000 0.3581 0.3404
Pr 0.0000 0.8581 0.6596
Nd 0.5000 0.5081 0.5772
Nd 0.5000 0.0081 0.4228
Cu 0.5000 0.7356 0.8466
Cu 0.5000 0.2356 0.1534
Cu 0.0000 0.2643 0.6523
Cu 0.0000 0.7643 0.3477

Computed properties:
VASP energy = -4.64 eV per atom
Crystal system = orthorhombic
E_form = -0.09 eV/atom

---

23.
First-principles (PBE) data for a geometry-optimized HgAsP2 structure, as listed in Alexandria.

Cell: 2.9039 2.9039 9.9354 Å, 90.00 90.00 110.44°
Atoms (fractional coordinates):
As 0.5000 0.5000 0.2500
Hg 0.5000 0.5000 0.7500
P 0.0000 0.0000 0.0469
P 0.0000 0.0000 0.4531

Computed properties:
VASP energy = -3.32 eV per atom
Crystal system = orthorhombic
E_form = 0.62 eV/atom